[1]
## Nd3SbS6 (PBE-GGA)

Data for a relaxed structure of Nd3SbS6.

Cell lengths 8.784, 8.784, 6.977 Å; angles 90.00, 90.00, 102.90 degrees
Element x y z (fractional)
Nd: 0.097 0.903 0.500
Nd: 0.214 0.416 0.409
Nd: 0.416 0.214 0.909
Nd: 0.584 0.786 0.409
Nd: 0.786 0.584 0.909
Nd: 0.903 0.097 0.000
Sb: 0.324 0.676 0.890
Sb: 0.676 0.324 0.390
S: 0.074 0.598 0.702
S: 0.137 0.191 0.706
S: 0.191 0.137 0.206
S: 0.269 0.731 0.263
S: 0.402 0.926 0.702
S: 0.488 0.512 0.651
S: 0.512 0.488 0.151
S: 0.598 0.074 0.202
S: 0.731 0.269 0.763
S: 0.809 0.863 0.706
S: 0.863 0.809 0.206
S: 0.926 0.402 0.202

Summary:
The formation energy from raw total energies comes out at -1.58 eV per atom. The space-group type is Cmc2_1 (36).

[2]
## Nd2SbS5 (PBE-GGA)

Data for a relaxed structure of Nd2SbS5.

Cell lengths 7.447, 7.447, 13.208 Å; angles 90.00, 90.00, 137.95 degrees
Element x y z (fractional)
Nd: 0.153 0.847 0.569
Nd: 0.153 0.847 0.931
Nd: 0.847 0.153 0.069
Nd: 0.847 0.153 0.431
Sb: 0.166 0.834 0.250
Sb: 0.834 0.166 0.750
S: 0.044 0.956 0.110
S: 0.044 0.956 0.390
S: 0.279 0.721 0.750
S: 0.294 0.706 0.090
S: 0.294 0.706 0.410
S: 0.706 0.294 0.590
S: 0.706 0.294 0.910
S: 0.721 0.279 0.250
S: 0.956 0.044 0.610
S: 0.956 0.044 0.890

Summary:
The formation energy from raw total energies comes out at -1.23 eV per atom. The space-group type is Cmcm (63). The value obtained for the energy above the lowest structure with this stoichiometry is 116 meV per atom.

[3]
## Nd2SbS (PBE-GGA)

Data for a relaxed structure of Nd2SbS.

Cell lengths 7.467, 7.467, 7.467 Å; angles 33.47, 33.47, 33.47 degrees
Element x y z (fractional)
Nd: 0.242 0.242 0.242
Nd: 0.758 0.758 0.758
Sb: 0.000 0.000 0.000
S: 0.500 0.500 0.500

Summary:
The formation energy from raw total energies comes out at -1.57 eV per atom. The space-group type is R-3m (166). The value obtained for the energy above the lowest structure with this stoichiometry is 0 meV per atom.

[4]
## NdSb3S6 (PBE-GGA)

Data for a relaxed structure of NdSb3S6.

Cell lengths 11.646, 3.908, 11.913 Å; angles 90.00, 103.27, 90.00 degrees
Element x y z (fractional)
Nd: 0.187 0.250 0.031
Nd: 0.813 0.750 0.969
Sb: 0.032 0.750 0.290
Sb: 0.336 0.250 0.423
Sb: 0.405 0.750 0.846
Sb: 0.595 0.250 0.154
Sb: 0.664 0.750 0.577
Sb: 0.968 0.250 0.710
S: 0.036 0.750 0.890
S: 0.122 0.250 0.442
S: 0.218 0.750 0.220
S: 0.258 0.250 0.800
S: 0.382 0.750 0.049
S: 0.386 0.750 0.566
S: 0.614 0.250 0.434
S: 0.618 0.250 0.951
S: 0.742 0.750 0.200
S: 0.782 0.250 0.780
S: 0.878 0.750 0.558
S: 0.964 0.250 0.110

Summary:
The formation energy from raw total energies comes out at -0.71 eV per atom. The space-group type is P2_1/m (11).

[5]
## NdSb2S4 (PBE-GGA)

Data for a relaxed structure of NdSb2S4.

Cell lengths 6.696, 6.696, 12.977 Å; angles 90.00, 90.00, 143.44 degrees
Element x y z (fractional)
Nd: 0.122 0.878 0.750
Nd: 0.878 0.122 0.250
Sb: 0.375 0.625 0.559
Sb: 0.375 0.625 0.941
Sb: 0.625 0.375 0.059
Sb: 0.625 0.375 0.441
S: 0.000 0.000 0.000
S: 0.000 0.000 0.500
S: 0.274 0.726 0.120
S: 0.274 0.726 0.380
S: 0.475 0.525 0.750
S: 0.525 0.475 0.250
S: 0.726 0.274 0.620
S: 0.726 0.274 0.880

Summary:
The formation energy from raw total energies comes out at -0.74 eV per atom. The space-group type is Cmcm (63).

[6]
## Nd3Sb2S (PBE-GGA)

Data for a relaxed structure of Nd3Sb2S.

Cell lengths 14.526, 13.845, 7.599 Å; angles 79.48, 69.57, 30.95 degrees
Element x y z (fractional)
Nd: 0.040 0.537 0.198
Nd: 0.108 0.642 0.642
Nd: 0.198 0.724 0.040
Nd: 0.276 0.802 0.463
Nd: 0.358 0.892 0.892
Nd: 0.463 0.960 0.276
Nd: 0.537 0.040 0.724
Nd: 0.642 0.108 0.108
Nd: 0.724 0.198 0.537
Nd: 0.802 0.276 0.960
Nd: 0.892 0.358 0.358
Nd: 0.960 0.463 0.802
Sb: 0.127 0.127 0.623
Sb: 0.294 0.294 0.456
Sb: 0.377 0.377 0.873
Sb: 0.456 0.456 0.294
Sb: 0.544 0.544 0.706
Sb: 0.623 0.623 0.127
Sb: 0.706 0.706 0.544
Sb: 0.873 0.873 0.377
S: 0.042 0.042 0.208
S: 0.208 0.208 0.042
S: 0.792 0.792 0.958
S: 0.958 0.958 0.792

Summary:
The formation energy from raw total energies comes out at -1.44 eV per atom. The space-group type is Fddd (70). The value obtained for the energy above the lowest structure with this stoichiometry is 0 meV per atom.

[7]
## Nd3SbS2 (PBE-GGA)

Data for a relaxed structure of Nd3SbS2.

Cell lengths 8.042, 8.042, 8.042 Å; angles 124.77, 92.85, 112.34 degrees
Element x y z (fractional)
Nd: 0.000 0.229 0.229
Nd: 0.000 0.771 0.771
Nd: 0.500 0.000 0.000
Nd: 0.500 0.229 0.729
Nd: 0.500 0.500 0.500
Nd: 0.500 0.771 0.271
Sb: 0.188 0.938 0.250
Sb: 0.812 0.062 0.750
S: 0.264 0.709 0.555
S: 0.345 0.291 0.055
S: 0.655 0.709 0.945
S: 0.736 0.291 0.445

Summary:
The formation energy from raw total energies comes out at -1.33 eV per atom. The space-group type is Imma (74). The value obtained for the energy above the lowest structure with this stoichiometry is 0 meV per atom.

[8]
## Nd5SbS4 (PBE-GGA)

Data for a relaxed structure of Nd5SbS4.

Cell lengths 7.221, 7.221, 10.218 Å; angles 118.10, 118.10, 33.43 degrees
Element x y z (fractional)
Nd: 0.000 0.000 0.000
Nd: 0.206 0.206 0.815
Nd: 0.392 0.392 0.611
Nd: 0.608 0.608 0.389
Nd: 0.794 0.794 0.185
Sb: 0.000 0.000 0.500
S: 0.204 0.204 0.293
S: 0.405 0.405 0.103
S: 0.595 0.595 0.897
S: 0.796 0.796 0.707

Summary:
The formation energy from raw total energies comes out at -1.83 eV per atom. The space-group type is C2/m (12).

[9]
## Nd6Sb5S (PBE-GGA)

Data for a relaxed structure of Nd6Sb5S.

Cell lengths 7.717, 7.717, 7.720 Å; angles 99.62, 99.62, 119.90 degrees
Element x y z (fractional)
Nd: 0.081 0.404 0.743
Nd: 0.241 0.241 0.252
Nd: 0.404 0.081 0.743
Nd: 0.596 0.919 0.257
Nd: 0.759 0.759 0.748
Nd: 0.919 0.596 0.257
Sb: 0.171 0.829 0.000
Sb: 0.334 0.666 0.500
Sb: 0.500 0.500 0.000
Sb: 0.666 0.334 0.500
Sb: 0.829 0.171 0.000
S: 0.000 0.000 0.500

Summary:
The formation energy from raw total energies comes out at -1.31 eV per atom. The space-group type is C2/m (12).

[10]
## Nd2SbS5 (PBE-GGA)

Data for a relaxed structure of Nd2SbS5.

Cell lengths 7.801, 11.502, 4.023 Å; angles 90.00, 90.00, 90.00 degrees
Element x y z (fractional)
Nd: 0.044 0.173 0.000
Nd: 0.456 0.673 0.000
Nd: 0.544 0.327 0.000
Nd: 0.956 0.827 0.000
Sb: 0.000 0.500 0.500
Sb: 0.500 0.000 0.500
S: 0.000 0.000 0.500
S: 0.170 0.700 0.500
S: 0.179 0.413 0.000
S: 0.321 0.913 0.000
S: 0.330 0.200 0.500
S: 0.500 0.500 0.500
S: 0.670 0.800 0.500
S: 0.679 0.087 0.000
S: 0.821 0.587 0.000
S: 0.830 0.300 0.500

Summary:
The formation energy from raw total energies comes out at -1.35 eV per atom. The space-group type is Pbam (55). The value obtained for the energy above the lowest structure with this stoichiometry is 0 meV per atom.

[11]
## Nd2SbS (PBE-GGA)

Data for a relaxed structure of Nd2SbS.

Cell lengths 7.727, 7.727, 7.727 Å; angles 31.82, 31.82, 31.82 degrees
Element x y z (fractional)
Nd: 0.000 0.000 0.000
Nd: 0.186 0.186 0.186
Sb: 0.426 0.426 0.426
S: 0.596 0.596 0.596

Summary:
The formation energy from raw total energies comes out at -1.50 eV per atom. The space-group type is R3m (160). The value obtained for the energy above the lowest structure with this stoichiometry is 73 meV per atom.

[12]
## Nd6Sb2Se3S (PBE-GGA)

Data for a relaxed structure of Nd6Sb2Se3S.

Cell lengths 9.662, 9.662, 8.639 Å; angles 102.90, 102.90, 25.72 degrees
Element x y z (fractional)
Nd: 0.003 0.003 0.270
Nd: 0.338 0.338 0.909
Nd: 0.343 0.343 0.430
Nd: 0.657 0.657 0.570
Nd: 0.662 0.662 0.091
Nd: 0.997 0.997 0.730
Sb: 0.166 0.166 0.834
Sb: 0.834 0.834 0.166
Se: 0.171 0.171 0.337
Se: 0.500 0.500 0.000
Se: 0.829 0.829 0.663
S: 0.500 0.500 0.500

Summary:
The formation energy from raw total energies comes out at -1.64 eV per atom. The space-group type is C2/m (12).

no.,VASP energy (eV/cell)
1,-117.90
2,-88.35
3,-24.06
4,-98.07
5,-69.46
6,-141.21
7,-69.35
8,-62.73
9,-69.10
10,-90.21
11,-23.77
12,-71.11